Computed, not measured: a geometry-optimized Si2HgSb structure at the PBE level of DFT.

abc: 3.1874 3.1874 8.8541
angles: 90.00 90.00 107.70
Last column: nearest neighbours and their distance in Å.
Fractional coordinates of all 4 atoms:
Si  0.0000  0.0000  0.2464  2 Hg 2.88, 2 Sb 2.93, 4 Si 3.19
Si  0.0000  0.0000  0.7536  2 Hg 2.88, 2 Sb 2.93, 4 Si 3.19
Hg  0.5000  0.5000  0.0000  4 Si 2.88, 4 Hg 3.19
Sb  0.5000  0.5000  0.5000  4 Si 2.93, 4 Sb 3.19

Values from the calculation:
- Raw total energy: -3.21 eV/atom
- Energy relative to the elements, uncorrected: 610 meV/atom
- Spin magnetization: 0.00 μB/f.u.